Record 1
GGA-PBE Er2MgNp, optimized geometry; space-group type = R-3m (166); uncorrected energy = -22.673 eV/cell; calculated formation energy = 24 kJ/mol of atoms
1.0
-2.159 2.241 1.200
-0.802 -0.025 3.237
7.470 7.734 3.628
Er Mg Np
2 1 1
Cartesian
3.406 7.483 6.055 Er
1.103 2.468 2.010 Er
2.255 4.975 4.033 Mg
0.000 0.000 0.000 Np

***

Record 2
GGA-PBE LiPm2Sc, optimized geometry; space-group type = R-3m (166); uncorrected energy = -17.066 eV/cell; relative energy among the computed polymorphs = 88.6 meV per atom; calculated formation energy = 16 kJ/mol of atoms
1.0
3.429 0.000 0.000
1.714 2.969 0.000
1.714 0.990 12.033
Sc Pm Li
1 2 1
Cartesian
3.429 1.980 6.016 Sc
5.143 2.969 3.291 Pm
1.714 0.990 8.742 Pm
0.000 0.000 0.000 Li

***

Record 3
GGA-PBE Sc2SiOs, optimized geometry; space-group type = Pmmm (47); uncorrected energy = -31.544 eV/cell; ΔE_f (raw) = -557.1 meV per atom
1.0
-2.147 -0.095 2.552
-2.303 -1.315 -1.987
-0.325 -6.973 -0.534
Sc Si Os
2 1 1
Cartesian
-0.335 -6.944 -0.541 Sc
-1.305 -4.173 -1.253 Sc
-1.731 -2.120 0.646 Si
-3.045 -6.263 -0.615 Os

***

Record 4
GGA-PBE Ce2ScTl, optimized geometry; space-group type = Fm-3m (225); uncorrected energy = -20.430 eV/cell; relative energy among the computed polymorphs = 225.3 meV per atom; calculated formation energy = 3 kJ/mol of atoms
1.0
-5.333 0.805 -0.742
-3.593 -3.604 1.936
-3.169 1.317 4.227
Sc Tl Ce
1 1 2
Cartesian
-6.047 -0.741 2.710 Sc
0.000 0.000 0.000 Tl
-3.024 -0.370 1.355 Ce
-9.071 -1.111 4.065 Ce

***

Record 5
GGA-PBE Dy7Au3, optimized geometry; space-group type = P6_3mc (186); uncorrected energy = -94.553 eV/cell; calculated formation energy = -50 kJ/mol of atoms
1.0
6.333 0.000 0.000
0.000 8.714 -5.031
0.000 0.000 10.062
Au Dy
6 14
Cartesian
5.493 5.390 5.031 Au
2.326 7.052 -2.152 Au
5.493 1.662 2.879 Au
2.326 3.325 0.000 Au
2.326 7.052 2.152 Au
5.493 1.662 7.183 Au
4.029 4.675 -1.966 Dy
0.862 4.040 3.066 Dy
3.868 2.905 5.031 Dy
5.884 7.587 3.078 Dy
0.862 0.635 5.031 Dy
5.884 7.587 -3.078 Dy
2.717 6.459 5.031 Dy
0.862 4.040 6.997 Dy
2.717 1.128 1.953 Dy
0.701 5.810 0.000 Dy
4.029 4.675 1.966 Dy
2.717 1.128 8.110 Dy
5.884 2.255 0.000 Dy
4.029 8.079 0.000 Dy

***

Record 6
GGA-PBE Cs2LiRuF6, optimized geometry; space-group type = Pmmn (59); uncorrected energy = -95.528 eV/cell; relative energy among the computed polymorphs = 0.0 meV per atom; ΔE_f (raw) = -2363.9 meV per atom
1.0
6.414 0.000 0.000
0.000 6.754 0.000
0.000 0.000 8.048
F Cs Li Ru
12 4 2 2
Cartesian
1.820 0.448 4.024 F
1.514 3.438 0.000 F
5.027 6.306 0.000 F
0.000 4.864 2.058 F
4.595 0.448 4.024 F
3.207 1.890 6.082 F
3.207 1.890 1.966 F
4.721 3.316 4.024 F
0.000 4.864 5.990 F
1.388 6.306 0.000 F
4.901 3.438 0.000 F
1.694 3.316 4.024 F
3.207 5.249 5.963 Cs
0.000 1.505 6.109 Cs
3.207 5.249 2.085 Cs
0.000 1.505 1.939 Cs
3.207 2.442 0.000 Li
0.000 4.312 4.024 Li
3.207 1.902 4.024 Ru
0.000 4.852 0.000 Ru

***

Record 7
GGA-PBE CeDyTh2N4, optimized geometry; space-group type = P2/m (10); uncorrected energy = -71.296 eV/cell; ΔE_f (raw) = -1577.4 meV per atom
1.0
3.597 0.000 0.000
0.000 6.236 0.110
0.000 -2.177 5.831
N Ce Th Dy
4 1 2 1
Cartesian
0.000 -0.063 4.426 N
1.798 1.037 1.459 N
0.000 4.123 1.515 N
1.798 3.023 4.482 N
0.000 0.000 0.000 Ce
1.798 -1.088 2.916 Th
0.000 2.030 2.971 Th
1.798 3.118 0.055 Dy

***

Record 8
GGA-PBE BiBRuRh2, optimized geometry; space-group type = P4/mmm (123); uncorrected energy = -34.515 eV/cell; calculated formation energy = 0 kJ/mol of atoms
1.0
4.220 0.000 0.000
0.000 4.220 0.000
0.000 0.000 4.215
B Bi Rh Ru
1 1 2 1
Cartesian
0.000 0.000 0.000 B
2.110 2.110 2.108 Bi
2.110 0.000 0.000 Rh
0.000 2.110 0.000 Rh
0.000 0.000 2.108 Ru

***

Record 9
GGA-PBE W3Br7Cl, optimized geometry; space-group type = Cm (8); uncorrected energy = -55.298 eV/cell; ΔE_f (raw) = -261.9 meV per atom
1.0
6.176 0.000 3.283
3.137 6.064 1.550
-0.331 -0.104 8.075
W Br Cl
3 7 1
Cartesian
1.006 1.874 5.558 W
5.965 4.304 8.145 W
2.265 4.304 6.178 W
8.046 5.443 7.217 Br
6.493 2.465 6.463 Br
4.742 5.493 5.982 Br
3.440 3.494 8.432 Br
4.937 0.501 9.288 Br
1.893 0.501 7.670 Br
3.364 2.465 4.800 Br
6.356 3.526 10.396 Cl

***

Record 10
GGA-PBE Zn2CoOs, optimized geometry; space-group type = Imm2 (44); uncorrected energy = -20.112 eV/cell; relative energy among the computed polymorphs = 122.8 meV per atom; calculated formation energy = 19 kJ/mol of atoms
1.0
5.070 0.004 0.004
2.421 4.454 -0.004
-3.203 -3.141 2.363
Zn Os Co
2 1 1
Cartesian
7.484 4.454 0.000 Zn
2.736 -0.496 1.183 Zn
1.574 1.826 1.179 Os
3.730 2.220 0.000 Co

***

Record 11
GGA-PBE Pm8Ho2Tl, optimized geometry; space-group type = Immm (71); uncorrected energy = -49.269 eV/cell; relative energy among the computed polymorphs = 65.3 meV per atom; calculated formation energy = 2 kJ/mol of atoms
1.0
0.363 5.227 -1.877
-4.768 -1.730 -5.741
-4.624 0.516 8.796
Pm Ho Tl
8 2 1
Cartesian
-2.993 2.765 -1.130 Pm
-3.863 2.036 4.924 Pm
-5.166 1.977 -3.746 Pm
-5.508 5.291 5.418 Pm
-3.521 -1.278 -4.240 Pm
-6.568 3.197 -0.619 Pm
-6.036 1.248 2.308 Pm
-2.461 0.816 1.798 Pm
-5.010 0.006 -0.952 Ho
-4.019 4.007 2.130 Ho
0.181 2.613 -0.938 Tl

***

Record 12
GGA-PBE NaAgAsBr2, optimized geometry; space-group type = P4/mmm (123); uncorrected energy = -12.892 eV/cell; relative energy among the computed polymorphs = 0.0 meV per atom; ΔE_f (raw) = -145.3 meV per atom
1.0
5.624 0.000 0.000
0.000 5.624 0.000
0.000 0.000 5.030
Br As Na Ag
2 1 1 1
Cartesian
2.812 0.000 0.000 Br
0.000 2.812 0.000 Br
0.000 0.000 2.515 As
2.812 2.812 2.515 Na
0.000 0.000 0.000 Ag

***

Record 13
GGA-PBE Cd3CoMo, optimized geometry; space-group type = Pm-3m (221); uncorrected energy = -15.346 eV/cell; relative energy among the computed polymorphs = 0.0 meV per atom; calculated formation energy = 103 kJ/mol of atoms
1.0
4.851 0.000 0.000
0.000 4.851 0.000
0.000 0.000 4.851
Cd Co Mo
3 1 1
Cartesian
2.425 0.000 0.000 Cd
0.000 2.425 0.000 Cd
0.000 0.000 2.425 Cd
0.000 0.000 0.000 Co
2.425 2.425 2.425 Mo

***

Record 14
GGA-PBE Nd8YHo4, optimized geometry; space-group type = R-3m (166); uncorrected energy = -60.376 eV/cell; calculated formation energy = 19 kJ/mol of atoms
1.0
6.418 0.000 -3.463
-4.143 6.001 0.000
1.461 1.009 10.387
Nd Ho Y
8 4 1
Cartesian
4.063 5.230 4.054 Nd
0.960 5.094 1.780 Nd
-0.327 1.780 2.870 Nd
-2.594 5.064 2.870 Nd
1.157 5.230 5.622 Nd
2.776 1.916 5.144 Nd
6.330 1.946 4.054 Nd
2.579 1.780 1.302 Nd
-2.071 3.001 0.000 Ho
0.000 0.000 0.000 Ho
3.209 0.000 -1.731 Ho
1.138 3.000 -1.732 Ho
-1.341 3.505 5.193 Y

***

Record 15
GGA-PBE CaAc2Ir2I2, optimized geometry; space-group type = I4/mmm (139); uncorrected energy = -35.462 eV/cell; ΔE_f (raw) = -631.6 meV per atom
1.0
-2.766 4.378 0.294
-0.794 -0.157 -5.123
-5.462 -6.771 3.680
Ac Ir I Ca
2 2 2 1
Cartesian
-3.302 1.130 -2.149 Ac
-5.720 -3.681 0.999 Ac
-1.383 2.189 0.147 Ir
-0.397 -0.079 -2.562 Ir
-2.750 -1.770 0.480 I
-6.271 -0.780 -1.630 I
0.000 0.000 0.000 Ca

***

Record 16
GGA-PBE Ac3SnAs2Pt6, optimized geometry; space-group type = P-3m1 (164); uncorrected energy = -73.214 eV/cell; calculated formation energy = -91 kJ/mol of atoms
1.0
-4.993 2.401 -1.826
2.124 -4.719 -2.694
-5.075 -5.830 6.211
Sn As Ac Pt
1 2 3 6
Cartesian
-2.538 -2.915 3.106 Sn
-7.226 -5.262 3.520 As
-0.719 -2.885 -1.829 As
0.000 0.000 0.000 Ac
-3.341 -5.898 1.380 Ac
-4.603 -2.249 0.311 Ac
-7.454 -2.989 2.500 Pt
-6.398 -5.336 1.160 Pt
-0.490 -5.159 -0.809 Pt
-4.971 -4.183 3.408 Pt
-1.547 -2.812 0.531 Pt
-2.974 -3.965 -1.717 Pt

***

Record 17
GGA-PBE Y3MgIn3Te8, optimized geometry; space-group type = C2/m (12); uncorrected energy = -67.113 eV/cell; ΔE_f (raw) = -851.9 meV per atom
1.0
8.747 -0.001 0.000
-4.375 7.572 -0.030
0.001 -5.022 7.658
Y Te Mg In
3 8 1 3
Cartesian
2.187 1.274 3.814 Y
-2.187 1.275 3.814 Y
4.374 -2.511 3.829 Y
4.373 0.019 5.611 Te
-2.248 3.841 5.523 Te
2.128 -1.291 2.102 Te
6.622 -1.292 2.104 Te
4.374 2.596 2.086 Te
2.245 3.840 5.525 Te
0.000 -0.047 5.542 Te
0.000 2.530 2.017 Te
0.000 -2.511 3.829 Mg
-2.187 3.786 -0.015 In
0.000 0.000 0.000 In
2.186 3.785 -0.015 In

***

Record 18
GGA-PBE MnBeCu3, optimized geometry; space-group type = Pm-3m (221); uncorrected energy = -18.219 eV/cell; relative energy among the computed polymorphs = 629.3 meV per atom; calculated formation energy = 134 kJ/mol of atoms
1.0
4.475 0.000 0.000
0.000 4.475 0.000
0.000 0.000 4.475
Cu Be Mn
3 1 1
Cartesian
0.000 2.237 0.000 Cu
2.237 0.000 0.000 Cu
0.000 0.000 2.237 Cu
2.237 2.237 2.237 Be
0.000 0.000 0.000 Mn

***

Record 19
GGA-PBE HfB2F, optimized geometry; space-group type = Fm-3m (225); uncorrected energy = -22.914 eV/cell; relative energy among the computed polymorphs = 872.4 meV per atom; ΔE_f (raw) = 566.4 meV per atom
1.0
0.000 2.863 2.863
2.863 0.000 2.863
2.863 2.863 0.000
F Hf B
1 1 2
Cartesian
0.000 0.000 0.000 F
2.863 2.863 2.863 Hf
1.432 1.432 1.432 B
4.295 4.295 4.295 B

***

Record 20
GGA-PBE DyMnH3, optimized geometry; space-group type = Pm-3m (221); uncorrected energy = -25.640 eV/cell
1.0
3.551 0.000 0.000
0.000 3.551 0.000
0.000 0.000 3.551
H Mn Dy
3 1 1
Cartesian
1.776 0.000 0.000 H
0.000 1.776 0.000 H
0.000 0.000 1.776 H
0.000 0.000 0.000 Mn
1.776 1.776 1.776 Dy